# Co2CuSnB

An optimized crystal structure of Co2CuSnB (PBE-GGA, Alexandria via LeMat-Bulk).

Calculated values
Density of states at the Fermi level, states/eV per cell: 2.9
SG: P4/mmm, No. 123
ΔE_f, eV/atom: 0.390

Lattice parameters (Å, degrees): 3.843 4.412 3.843 90.00 90.00 90.00
Fractional coordinates of all 5 atoms:
1 Co 0.500 0.000 0.000
2 B 0.000 0.000 0.000
3 Sn 0.000 0.500 0.000
4 Cu 0.500 0.500 0.500
5 Co 0.000 0.000 0.500